A plane-wave DFT calculation with PBE was carried out for an optimized crystal structure of Dy5Sn2RuRh2.

a b c (Å): 11.5706 11.5706 3.5254
angles (deg): 90.00 90.00 90.00
With the nearest neighbours (Å) after each atom.
Positions (direct):
1 Dy 0.0000 0.5000 0.0000  4 Rh 2.84
2 Dy 0.0648 0.1946 0.0000  2 Rh 2.76, 2 Ru 2.96
3 Dy 0.1946 0.9352 0.0000  2 Rh 2.76, 2 Ru 2.96
4 Dy 0.3054 0.4352 0.0000  2 Rh 2.76, 2 Ru 2.96
5 Dy 0.4352 0.6946 0.0000  2 Rh 2.76, 2 Ru 2.96
6 Dy 0.5000 0.0000 0.0000  4 Rh 2.84
7 Dy 0.5648 0.3054 0.0000  2 Rh 2.76, 2 Ru 2.96
8 Dy 0.6946 0.5648 0.0000  2 Rh 2.76, 2 Ru 2.96
9 Dy 0.8054 0.0648 0.0000  2 Rh 2.76, 2 Ru 2.96
10 Dy 0.9352 0.8054 0.0000  2 Rh 2.76, 2 Ru 2.96
11 Sn 0.1784 0.6784 0.5000  1 Rh 3.03
12 Sn 0.3216 0.1784 0.5000  1 Rh 3.03
13 Sn 0.6784 0.8216 0.5000  1 Rh 3.03
14 Sn 0.8216 0.3216 0.5000  1 Rh 3.03
15 Ru 0.0000 0.0000 0.5000  8 Dy 2.96
16 Ru 0.5000 0.5000 0.5000  8 Dy 2.96
17 Rh 0.1364 0.3636 0.5000  6 Dy 2.76-2.84, 1 Sn 3.03
18 Rh 0.3636 0.8636 0.5000  6 Dy 2.76-2.84, 1 Sn 3.03
19 Rh 0.6364 0.1364 0.5000  6 Dy 2.76-2.84, 1 Sn 3.03
20 Rh 0.8636 0.6364 0.5000  6 Dy 2.76-2.84, 1 Sn 3.03

Summary:
Size of the total moment = 0.0 μB per cell
Calculated total energy = -6.1188 eV per atom
D(E_F) = 0.355 states/eV per atom